Record 1
Here is a geometry-optimized YSi3Rh9 structure from Alexandria via LeMat-Bulk. Energies are from PBE-GGA.

a b c (Å): 6.8631 6.8631 6.2891
angles (deg): 96.80 96.80 136.67
Closest atoms and distances in Å follow each position.
Element x y z (fractional)
Y (0.0000, 0.0000, 0.0000)  14 Rh 3.00-3.22, 2 Si 3.35
Si (0.0000, 0.5000, 0.0000)  8 Rh 2.47-2.56, 2 Si 2.53
Si (0.5000, 0.0000, 0.0000)  8 Rh 2.47-2.56, 2 Si 2.53
Si (0.5000, 0.5000, 0.5000)  6 Rh 2.40-2.53
Rh (0.0000, 0.0000, 0.5000)  2 Si 2.53, 8 Rh 2.64-2.73
Rh (0.0478, 0.6878, 0.6763)  2 Si 2.47-2.48, 4 Rh 2.71-2.74
Rh (0.2944, 0.5187, 0.7740)  3 Si 2.40-2.56, 1 Rh 2.64
Rh (0.3122, 0.9522, 0.3237)  2 Si 2.47-2.48, 4 Rh 2.71-2.74
Rh (0.4813, 0.7056, 0.2260)  3 Si 2.40-2.56, 1 Rh 2.64
Rh (0.5187, 0.2944, 0.7740)  3 Si 2.40-2.56, 1 Rh 2.64
Rh (0.6878, 0.0478, 0.6763)  2 Si 2.47-2.48, 4 Rh 2.71-2.74
Rh (0.7056, 0.4813, 0.2260)  3 Si 2.40-2.56, 1 Rh 2.64
Rh (0.9522, 0.3122, 0.3237)  2 Si 2.47-2.48, 4 Rh 2.71-2.74

Calculated values
**Formation energy without anion corrections**: -717 kJ/mol of formula units
**Calculated total energy**: -96.33 eV per formula unit
**Space-group type**: C2/m, No. 12
**ρ**: 9.5 g/cm3

Record 2
Here is a geometry-optimized Y5MgCu4 structure from Alexandria via LeMat-Bulk. Energies are from PBE-GGA.

a b c (Å): 3.4857 3.4857 18.4839
angles (deg): 90.00 90.00 90.00
Closest atoms and distances in Å follow each position.
Element x y z (fractional)
Y (0.0000, 0.0000, 0.0000)  8 Cu 3.01
Y (0.0000, 0.0000, 0.1886)  8 Cu 3.02-3.05
Y (0.0000, 0.0000, 0.3755)  4 Cu 2.97
Y (0.0000, 0.0000, 0.6245)  4 Cu 2.97
Y (0.0000, 0.0000, 0.8114)  8 Cu 3.02-3.05
Mg (0.5000, 0.5000, 0.5000)  8 Y 3.37, 4 Mg 3.49
Cu (0.5000, 0.5000, 0.0939)  8 Y 3.01-3.02
Cu (0.5000, 0.5000, 0.2857)  8 Y 2.97-3.05
Cu (0.5000, 0.5000, 0.7143)  8 Y 2.97-3.05
Cu (0.5000, 0.5000, 0.9061)  8 Y 3.01-3.02

Calculated values
**Formation enthalpy at 0 K**: -0.21 eV/atom
**Calculated total energy**: -52.41 eV per formula unit
**Space-group type**: P4/mmm, No. 123
**ρ**: 5.3 g/cm3

Record 3
Here is a geometry-optimized NaPm2P2N6 structure from Alexandria via LeMat-Bulk. Energies are from PBE-GGA.

a b c (Å): 5.8116 6.3309 6.3754
angles (deg): 99.46 110.62 115.98
Closest atoms and distances in Å follow each position.
Element x y z (fractional)
Na (0.0000, 0.0000, 0.0000)  4 N 2.47-2.49
Pm (0.3783, 0.6698, 0.2959)  5 N 2.36-2.51
Pm (0.6217, 0.3302, 0.7041)  5 N 2.36-2.51
P (0.2955, 0.7398, 0.7437)  3 N 1.57-1.59
P (0.7045, 0.2602, 0.2563)  3 N 1.57-1.59
N (0.1435, 0.6944, 0.9066)  1 P 1.57
N (0.2531, 0.8832, 0.5651)  1 P 1.59
N (0.4953, 0.6362, 0.7300)  1 P 1.58
N (0.5047, 0.3638, 0.2700)  1 P 1.58
N (0.7469, 0.1168, 0.4349)  1 P 1.59
N (0.8565, 0.3056, 0.0934)  1 P 1.57

Calculated values
**Formation energy without anion corrections**: -747 kJ/mol of formula units
**Calculated total energy**: -79.34 eV per formula unit
**Space-group type**: P-1, No. 2
**ρ**: 4.2 g/cm3

Record 4
Here is a geometry-optimized W3Cl structure from Alexandria via LeMat-Bulk. Energies are from PBE-GGA.

a b c (Å): 5.3487 5.3487 5.3487
angles (deg): 148.09 129.33 61.14
Closest atoms and distances in Å follow each position.
Element x y z (fractional)
W (0.0000, 0.0000, 0.0000)  4 Cl 2.72, 6 W 2.92-2.94
W (0.2737, 0.7737, 0.5000)  2 Cl 2.55, 4 W 2.75
W (0.7263, 0.2263, 0.5000)  2 Cl 2.55, 4 W 2.75
Cl (0.5000, 0.5000, 0.0000)  8 W 2.55-2.72

Calculated values
**Formation energy without anion corrections**: 346 kJ/mol of formula units
**Energy relative to the lowest polymorph listed for this composition**: 324 meV/atom
**Calculated total energy**: -37.12 eV per formula unit
**Space-group type**: Immm, No. 71
**ρ**: 15.7 g/cm3

> The highest ρ belongs to which entry?

W3Cl

What did the first record say?
Here is a geometry-optimized YSi3Rh9 structure from Alexandria via LeMat-Bulk. Energies are from PBE-GGA.

a b c (Å): 6.8631 6.8631 6.2891
angles (deg): 96.80 96.80 136.67
Closest atoms and distances in Å follow each position.
Element x y z (fractional)
Y (0.0000, 0.0000, 0.0000)  14 Rh 3.00-3.22, 2 Si 3.35
Si (0.0000, 0.5000, 0.0000)  8 Rh 2.47-2.56, 2 Si 2.53
Si (0.5000, 0.0000, 0.0000)  8 Rh 2.47-2.56, 2 Si 2.53
Si (0.5000, 0.5000, 0.5000)  6 Rh 2.40-2.53
Rh (0.0000, 0.0000, 0.5000)  2 Si 2.53, 8 Rh 2.64-2.73
Rh (0.0478, 0.6878, 0.6763)  2 Si 2.47-2.48, 4 Rh 2.71-2.74
Rh (0.2944, 0.5187, 0.7740)  3 Si 2.40-2.56, 1 Rh 2.64
Rh (0.3122, 0.9522, 0.3237)  2 Si 2.47-2.48, 4 Rh 2.71-2.74
Rh (0.4813, 0.7056, 0.2260)  3 Si 2.40-2.56, 1 Rh 2.64
Rh (0.5187, 0.2944, 0.7740)  3 Si 2.40-2.56, 1 Rh 2.64
Rh (0.6878, 0.0478, 0.6763)  2 Si 2.47-2.48, 4 Rh 2.71-2.74
Rh (0.7056, 0.4813, 0.2260)  3 Si 2.40-2.56, 1 Rh 2.64
Rh (0.9522, 0.3122, 0.3237)  2 Si 2.47-2.48, 4 Rh 2.71-2.74

Calculated values
**Formation energy without anion corrections**: -717 kJ/mol of formula units
**Calculated total energy**: -96.33 eV per formula unit
**Space-group type**: C2/m, No. 12
**ρ**: 9.5 g/cm3